A geometry-optimized Cs3B3Se10 structure. Source: the Alexandria database, functional PBE.

Structure (extended XYZ):
```
32
Lattice="7.8805 0.0293 -0.0224 -1.8370 8.5979 0.0202 0.2355 -4.2712 14.9412" Properties=species:S:1:pos:R:3 pbc="T T T"
B -0.2147 3.4544 6.1208
Se 4.6478 1.6917 9.2682
Se 0.0439 8.4328 0.3086
Se 1.5029 3.0719 3.3232
Cs 3.8714 4.9450 7.7326
B 5.3728 -0.6611 11.3704
B 0.9062 5.0171 3.5685
Se 4.7761 1.2841 11.6158
Cs 1.3092 0.6750 12.8460
Se 6.0416 2.3096 5.6421
Se 3.0801 6.7455 0.4061
Cs 4.9697 3.6810 2.0930
Se 5.9410 -1.2410 13.2717
Se -0.0995 4.1250 8.0631
Se 6.2351 -4.0768 14.6304
Se 2.7053 4.7317 11.6902
Se 3.7795 -1.8170 10.7018
Se 3.1988 -2.3895 14.5329
B 1.4055 7.3656 1.4181
Cs -1.1948 4.6166 11.7464
Se 2.4995 6.1730 4.2372
Se -0.6892 5.0918 4.9421
B 6.4937 0.9016 8.8182
Se 0.2374 2.0464 9.2969
Se 6.9682 -0.7358 9.9969
Se 0.3380 5.5970 1.6673
Se 6.3785 0.2310 6.8759
Se 1.6312 2.6643 5.6708
Cs 7.4738 -0.2606 3.1926
Se 3.5737 -0.3757 3.2488
B 4.8735 -3.0096 13.5209
Cs 2.4075 -0.5890 7.2064
```

Space-group type = P-1, No. 2
Uncorrected formation energy = -0.558 eV/atom
Magnetization = 0.0 μB per cell
Calculated total energy = -4.148 eV per atom

A geometry-optimized CsBSe2 structure. Source: the Alexandria database, functional PBE.

Structure (extended XYZ):
```
4
Lattice="-7.5658 0.8760 3.8057 -5.8345 -1.2875 6.0657 -5.3367 2.2491 6.2413" Properties=species:S:1:pos:R:3 pbc="T T T"
B -9.3685 0.9188 8.0563
Se -14.6741 1.4391 12.6188
Cs 0.0000 0.0000 0.0000
Se -4.0629 0.3985 3.4939
```

Space-group type = R-3m, No. 166
Uncorrected formation energy = 0.245 eV/atom
Magnetization = 0.0 μB per cell
Calculated total energy = -3.380 eV per atom

A geometry-optimized Cs2B4Se5 structure. Source: the Alexandria database, functional PBE.

Structure (extended XYZ):
```
11
Lattice="6.3372 0.0000 0.0000 3.1686 4.2961 -1.0726 3.1686 -2.0038 14.0268" Properties=species:S:1:pos:R:3 pbc="T T T"
Se 3.1686 1.1462 6.4771
Se 4.7494 3.3355 1.0495
B 6.3372 2.6532 0.1229
B 9.5058 -0.3370 12.8261
Se 7.9250 3.3355 1.0495
Cs 6.3372 1.9819 4.4807
Se 7.9250 -1.0432 11.9047
Se 4.7494 -1.0432 11.9047
B 3.1686 2.6293 0.1281
Cs 6.3372 0.3104 8.4735
B 6.3372 -0.3609 12.8312
```

Space-group type = C2/m, No. 12
Uncorrected formation energy = -0.313 eV/atom
Magnetization = 0.6 μB per cell
Calculated total energy = -4.480 eV per atom

A geometry-optimized Cs2BSe3 structure. Source: the Alexandria database, functional PBE.

Structure (extended XYZ):
```
12
Lattice="-0.6149 2.1097 -7.1342 -9.5354 2.6033 1.5917 2.2082 4.9302 5.1731" Properties=species:S:1:pos:R:3 pbc="T T T"
Se -1.2045 5.8634 -1.0607
Cs -4.4432 4.3508 -2.2355
Cs -8.2666 6.5938 2.6629
Se -6.7376 3.7797 0.6913
Se -7.6054 3.5095 -4.0715
Cs 0.3245 3.0494 -3.0322
B -7.7656 4.0592 -5.9304
Se -1.8113 1.9340 1.7352
B -2.3847 0.6538 0.3880
Cs -3.4990 5.2924 1.8662
Se -6.1308 7.7091 -2.1045
Se -2.5449 1.2035 -1.4709
```

Space-group type = Cmcm, No. 63
Uncorrected formation energy = -0.669 eV/atom
Magnetization = 1.9 μB per cell
Calculated total energy = -3.808 eV per atom

A geometry-optimized Cs5B2Se6 structure. Source: the Alexandria database, functional PBE.

Structure (extended XYZ):
```
26
Lattice="7.9495 0.1545 1.0428 3.1902 7.2829 1.0428 0.6200 0.4139 17.9650" Properties=species:S:1:pos:R:3 pbc="T T T"
Cs 9.7355 6.0970 5.5103
Se 3.2139 6.2893 16.6577
Cs 2.0863 0.9900 5.5578
Cs 7.7398 2.7074 10.2700
B 1.8775 2.9004 1.7619
Cs 5.6746 4.5687 14.5166
B 3.7086 0.8292 10.7444
Se 5.0288 7.5010 12.3754
Se 8.5458 1.5621 3.3929
Cs 5.1577 5.9036 1.2875
B 8.0511 7.0222 9.3062
Se 3.6882 1.4737 8.7118
B 9.8821 4.9510 18.2887
Cs 6.6019 1.9478 18.7631
Se 8.6747 4.8029 2.3563
Cs 9.6733 6.8614 14.4928
Se 4.5547 2.2145 12.0143
Se 6.7308 0.3504 7.6752
Cs 2.0241 1.7544 14.5403
Se 8.2783 4.7006 17.0188
Cs 6.0850 3.2827 5.5341
Se 3.4814 3.1508 3.0318
Se 8.0715 6.3777 11.3388
Cs 4.0198 5.1439 9.7806
Se 3.0850 3.0484 17.6943
Se 7.2050 5.6368 8.0363
```

Space-group type = C2/c, No. 15
Uncorrected formation energy = -0.756 eV/atom
Magnetization = 1.9 μB per cell
Calculated total energy = -3.720 eV per atom

A geometry-optimized Cs3B2Se4 structure. Source: the Alexandria database, functional PBE.

Structure (extended XYZ):
```
18
Lattice="10.6887 0.3671 0.2631 1.4037 8.2916 -0.4731 1.4039 2.2237 8.0017" Properties=species:S:1:pos:R:3 pbc="T T T"
Cs 9.4204 5.2568 4.3474
Se 1.1236 5.5349 0.2186
Se 6.4682 2.1739 5.3007
Cs 4.0027 2.6422 0.0643
Cs 9.4936 8.2402 7.7275
Se 12.3727 5.3475 7.5731
B 0.7935 3.7051 1.0265
B 12.7028 7.1773 6.7652
Se 1.4915 2.9565 2.6724
B 6.1379 2.3492 3.3084
B 7.3583 8.5333 4.4834
Se 7.0281 8.7085 2.4910
Se 12.0047 7.9259 5.1193
Cs 9.3471 1.0957 2.6123
Se 6.6603 7.2164 5.7225
Cs 4.1491 9.7867 5.1795
Se 6.8360 3.6660 2.0693
Cs 4.0759 5.6257 3.4443
```

Space-group type = C2/c, No. 15
Uncorrected formation energy = -0.623 eV/atom
Magnetization = 1.9 μB per cell
Calculated total energy = -3.940 eV per atom

A geometry-optimized CsBSe2 structure. Source: the Alexandria database, functional PBE.

Structure (extended XYZ):
```
8
Lattice="1.7543 -11.7702 0.0000 1.7543 11.7702 0.0000 0.0000 0.0000 6.2794" Properties=species:S:1:pos:R:3 pbc="T T T"
Se 1.7543 -4.4677 4.7095
Cs 1.7543 8.0243 1.5698
Se 1.7543 4.4677 1.5698
B 1.7543 2.5791 1.5698
Se 1.7543 10.3535 4.7095
B 1.7543 -2.5791 4.7095
Cs 1.7543 -8.0243 4.7095
Se 1.7543 -10.3535 1.5698
```

Space-group type = Cmcm, No. 63
Uncorrected formation energy = -0.420 eV/atom
Magnetization = 0.0 μB per cell
Calculated total energy = -4.045 eV per atom

A geometry-optimized Cs2BSe structure. Source: the Alexandria database, functional PBE.

Structure (extended XYZ):
```
8
Lattice="-3.9286 0.7609 -4.2959 -4.3363 -1.3172 3.7322 -5.0278 10.2977 2.4102" Properties=species:S:1:pos:R:3 pbc="T T T"
Cs -10.9635 7.2485 1.2807
Se -6.5444 5.3903 -1.0838
Cs -4.2189 2.8785 -1.5771
B -4.1324 -0.2781 -0.2819
B -6.7483 4.3512 2.9303
Se 0.0000 0.0000 0.0000
Cs -6.9094 7.5028 1.6300
Cs -4.4937 1.8532 2.3594
```

Space-group type = I-42d, No. 122
Uncorrected formation energy = 0.746 eV/atom
Magnetization = 2.0 μB per cell
Calculated total energy = -2.221 eV per atom